Entry from Alexandria via LeMat-Bulk: crystalline Na2ZnCd2 at its relaxed geometry (PBEsol).

Computed properties:
Calculated formation energy, eV per atom: 0.029
Crystal system: tetragonal
Energy above the lowest structure with this stoichiometry, eV/f.u.: 0.000
Raw total energy, eV for the cell shown: -13.3

Geometry as POSCAR:
```
Na2ZnCd2
1.0
5.069 0.000 0.000
0.000 6.949 0.000
0.000 0.000 6.949
Zn Na Cd
2 4 4
Cartesian
0.000 3.474 3.474
0.000 0.000 0.000
2.535 2.280 1.194
2.535 5.755 2.280
2.535 4.668 5.755
2.535 1.194 4.668
0.000 5.945 4.478
0.000 1.004 2.471
0.000 2.471 5.945
0.000 4.478 1.004
```

=====

Entry from Alexandria via LeMat-Bulk: crystalline Mg2SnPt2 at its relaxed geometry (PBEsol).

Computed properties:
Calculated formation energy, eV per atom: -0.382
Crystal system: tetragonal
Raw total energy, eV for the cell shown: -23.5

Geometry as POSCAR:
```
Mg2SnPt2
1.0
3.916 0.000 0.000
0.000 3.916 0.000
-1.958 -1.958 6.181
Pt Mg Sn
2 2 1
Cartesian
1.958 1.958 1.313
0.000 0.000 4.867
1.958 0.000 3.090
0.000 1.958 3.090
0.000 0.000 0.000
```